No. 1
Density functional theory data (PBEsol) for BaSrBr2 after structural relaxation.

The energy comes out at -3.340 eV/atom. The formation energy (no corrections) comes out at -1.408 eV/atom.

It has space group Immm (No. 71), with a = 4.150 Å, b = 7.392 Å, c = 9.783 Å, α = 90.00°, β = 90.00° and γ = 90.00°. Symmetry generates all atoms from Ba at (0.000, 0.000, 0.000), Sr at (0.000, 0.000, 0.500) and Br at (0.000, 0.500, 0.231).

No. 2
Density functional theory data (PBEsol) for Sb2PbAu after structural relaxation.

The energy comes out at -4.221 eV/atom. The formation energy (no corrections) comes out at 0.039 eV/atom.

It has space group Immm (No. 71), with a = 3.667 Å, b = 5.289 Å, c = 10.287 Å, α = 90.00°, β = 90.00° and γ = 90.00°. Symmetry generates all atoms from Sb at (0.000, 0.000, 0.208), Pb at (0.000, 0.500, 0.000) and Au at (0.000, 0.500, 0.500).